(1)
Dy12Fe6Hg | PBE | relaxed

Unit cell a=9.666 b=9.666 c=9.666 alpha=90.00 beta=90.00 gamma=90.00
Space group Im-3 (No. 204)
Inequivalent atoms, fractional coordinates:
Dy1 0.000 0.195 0.298 [24 per cell]
Fe1 0.000 0.390 0.500 [12 per cell]
Hg1 0.000 0.000 0.000 [2 per cell]

Results
N(E_F) ... 41.08 states/eV per cell
ΔE_f ... -0.067 eV/atom
Magnetization ... 11.38 μB per cell

=====

(2)
LiRuSeI | PBE | relaxed

Unit cell a=3.8117 b=3.8117 c=6.6093 alpha=90.00 beta=90.00 gamma=120.00
Space group P3m1 (No. 156)
Inequivalent atoms, fractional coordinates:
Li1 0.0000 0.0000 0.0000 [1 per cell]
Ru1 0.0000 0.0000 0.4148 [1 per cell]
Se1 0.3333 0.6667 0.2408 [1 per cell]
I1 0.6667 0.3333 0.7011 [1 per cell]

Results
Polymorph energy (0 for the lowest one) ... 0 meV per atom
Magnetization ... 0.00 μB per cell

=====

(3)
PaNbCo2H6 | PBE | relaxed

Unit cell a=4.4142 b=4.4142 c=14.9612 alpha=90.00 beta=90.00 gamma=120.00
Space group R-3m (No. 166, hexagonal axes)
Inequivalent atoms, fractional coordinates:
Pa1 0.0000 0.0000 0.0000 [3 per cell]
Nb1 0.0000 0.0000 0.5000 [3 per cell]
Co1 0.0000 0.0000 0.2026 [6 per cell]
H1 0.0085 0.5043 0.0635 [18 per cell]

Results
Total DFT energy (no corrections) ... -5.66 eV/atom
N(E_F) ... 19.53 states/eV per cell
Magnetization ... 6.94 μB per cell

=====

(4)
Ce2EuTa | PBE | relaxed

Unit cell a=3.1267 b=3.1267 c=36.7842 alpha=90.00 beta=90.00 gamma=120.00
Space group R-3m (No. 166, hexagonal axes)
Inequivalent atoms, fractional coordinates:
Ce1 0.0000 0.0000 0.0770 [6 per cell]
Eu1 0.0000 0.0000 0.5000 [3 per cell]
Ta1 0.0000 0.0000 0.0000 [3 per cell]

Results
N(E_F) ... 28.88 states/eV per cell
ΔE_f ... 0.570 eV/atom
Magnetization ... 22.40 μB per cell